Here is a relaxed LaGeRu crystal from Alexandria via LeMat-Bulk. Energies are from PBE.

Properties
ΔE_f: -0.528 eV per atom

Lattice parameters (Å, degrees): 4.3356 5.7253 5.8976 92.07 107.35 108.30
Fractional positions:
Ru (0.9634, 0.2887, 0.5765)
Ru (0.0366, 0.7113, 0.4235)
La (0.2217, 0.2966, 0.1767)
La (0.7783, 0.7034, 0.8233)
Ge (0.5613, 0.8861, 0.2901)
Ge (0.4387, 0.1139, 0.7099)


Here is a relaxed LiPuB12 crystal from Alexandria via LeMat-Bulk. Energies are from PBE.

Properties
ΔE_f: -0.223 eV per atom

Lattice parameters (Å, degrees): 4.1222 4.1222 8.2472 90.00 90.00 90.00
Fractional positions:
B (0.5000, 0.8000, 0.2489)
B (0.5000, 0.2000, 0.2489)
B (0.5000, 0.5000, 0.9009)
B (0.5000, 0.5000, 0.6007)
B (0.5000, 0.5000, 0.3993)
B (0.2000, 0.5000, 0.2489)
B (0.5000, 0.8000, 0.7511)
B (0.8000, 0.5000, 0.7511)
B (0.5000, 0.5000, 0.0991)
B (0.2000, 0.5000, 0.7511)
B (0.5000, 0.2000, 0.7511)
B (0.8000, 0.5000, 0.2489)
Pu (0.0000, 0.0000, 0.0000)
Li (0.0000, 0.0000, 0.5000)


Here is a relaxed Cd3Hg8 crystal from Alexandria via LeMat-Bulk. Energies are from PBE.

Properties
E above lowest polymorph: 0.000 eV/f.u.
ΔE_f: 0.021 eV per atom

Lattice parameters (Å, degrees): 3.9118 3.9119 22.5477 85.02 85.02 60.00
Fractional positions:
Hg (0.8176, 0.8176, 0.5473)
Hg (0.6372, 0.6372, 0.0884)
Hg (0.4531, 0.4531, 0.6408)
Hg (0.9113, 0.9113, 0.2662)
Hg (0.1824, 0.1824, 0.4527)
Hg (0.0887, 0.0887, 0.7338)
Hg (0.3628, 0.3628, 0.9116)
Hg (0.5469, 0.5469, 0.3592)
Cd (0.0000, 0.0000, 0.0000)
Cd (0.7258, 0.7258, 0.8228)
Cd (0.2742, 0.2742, 0.1772)


Here is a relaxed Gd2BiRh crystal from Alexandria via LeMat-Bulk. Energies are from PBE.

Properties
E above lowest polymorph: 0.000 eV/f.u.
ΔE_f: -0.725 eV per atom

Lattice parameters (Å, degrees): 3.5746 3.5746 7.8677 90.00 90.00 90.00
Fractional positions:
Bi (0.5000, 0.5000, 0.5000)
Gd (0.0000, 0.0000, 0.2108)
Gd (0.0000, 0.0000, 0.7892)
Rh (0.5000, 0.5000, 0.0000)


Here is a relaxed KBi2F8 crystal from Alexandria via LeMat-Bulk. Energies are from PBE.

Properties
E above lowest polymorph: 0.000 eV/f.u.
E_form (uncorrected): -2.39 eV/atom

Lattice parameters (Å, degrees): 4.4245 6.4949 6.4949 113.06 94.78 94.78
Fractional positions:
F (0.5000, 0.7350, 0.2650)
F (0.7351, 0.4032, 0.4032)
F (0.2649, 0.5968, 0.5968)
F (0.0630, 0.0466, 0.3328)
F (0.0630, 0.3328, 0.0466)
F (0.9370, 0.6672, 0.9534)
F (0.9370, 0.9534, 0.6672)
F (0.5000, 0.2650, 0.7350)
K (0.5000, 0.0000, 0.0000)
Bi (0.0000, 0.6781, 0.3219)
Bi (0.0000, 0.3219, 0.6781)


Here is a relaxed LiCe2HoSe4 crystal from Alexandria via LeMat-Bulk. Energies are from PBE.

Properties
E_form (uncorrected): -1.71 eV/atom

Lattice parameters (Å, degrees): 4.1176 7.1652 7.1139 70.59 90.00 90.00
Fractional positions:
Li (0.5000, 0.5000, 0.0000)
Ce (0.0000, 0.0000, 0.0000)
Ce (0.5000, 0.0000, 0.5000)
Se (0.0000, 0.2678, 0.2414)
Se (0.5000, 0.2668, 0.7494)
Se (0.5000, 0.7332, 0.2506)
Se (0.0000, 0.7322, 0.7586)
Ho (0.0000, 0.5000, 0.5000)


Here is a relaxed Rb2Re2B crystal from Alexandria via LeMat-Bulk. Energies are from PBE.

Properties
E above lowest polymorph: 8.900 eV/f.u.
ΔE_f: 2.827 eV per atom

Lattice parameters (Å, degrees): 3.9502 3.9502 8.5413 76.63 76.63 90.00
Fractional positions:
Rb (0.7500, 0.2500, 0.5000)
Rb (0.2500, 0.7500, 0.5000)
Re (0.4341, 0.4341, 0.1318)
Re (0.5659, 0.5659, 0.8682)
B (0.0000, 0.0000, 0.0000)


Here is a relaxed AcLa6Y2 crystal from Alexandria via LeMat-Bulk. Energies are from PBE.

Properties
E above lowest polymorph: 0.223 eV/f.u.
ΔE_f: 0.110 eV per atom

Lattice parameters (Å, degrees): 3.7720 10.2841 10.2841 55.91 90.00 90.00
Fractional positions:
Y (0.5000, 0.8165, 0.8165)
Y (0.5000, 0.1835, 0.1835)
La (0.5000, 0.6707, 0.3293)
La (0.0000, 0.4913, 0.8379)
La (0.5000, 0.3293, 0.6707)
La (0.0000, 0.1621, 0.5087)
La (0.0000, 0.8379, 0.4913)
La (0.0000, 0.5087, 0.1621)
Ac (0.0000, 0.0000, 0.0000)


Here is a relaxed NdHICl crystal from Alexandria via LeMat-Bulk. Energies are from PBE.

Properties
Calculated total energy: -4.378 eV per atom

Lattice parameters (Å, degrees): 4.0447 4.0447 8.1288 90.15 104.25 120.00
Fractional positions:
I (0.3493, 0.0407, 0.3900)
H (0.4999, 0.6145, 0.1145)
Nd (0.8279, 0.2785, 0.1064)
Cl (0.0149, 0.8708, 0.8857)


Here is a relaxed LiNb2CrSi crystal from Alexandria via LeMat-Bulk. Energies are from PBE.

Properties
E_form (uncorrected): 0.96 eV/atom

Lattice parameters (Å, degrees): 4.5281 4.3182 4.5281 90.00 90.00 90.00
Fractional positions:
Nb (0.5000, 0.0000, 0.0000)
Nb (0.0000, 0.0000, 0.5000)
Si (0.5000, 0.5000, 0.5000)
Li (0.0000, 0.5000, 0.0000)
Cr (0.0000, 0.0000, 0.0000)


Here is a relaxed Y3CoIr crystal from Alexandria via LeMat-Bulk. Energies are from PBE.

Properties
E above lowest polymorph: 0.000 eV/f.u.
ΔE_f: 0.102 eV per atom

Lattice parameters (Å, degrees): 4.9930 4.9930 4.9930 90.00 90.00 90.00
Fractional positions:
Y (0.0000, 0.5000, 0.0000)
Y (0.5000, 0.0000, 0.0000)
Y (0.0000, 0.0000, 0.5000)
Ir (0.5000, 0.5000, 0.5000)
Co (0.0000, 0.0000, 0.0000)


Here is a relaxed Nd5ZnSe4 crystal from Alexandria via LeMat-Bulk. Energies are from PBE.

Properties
E_form (uncorrected): -1.55 eV/atom

Lattice parameters (Å, degrees): 5.9966 7.3521 7.3521 80.43 65.93 65.93
Fractional positions:
Nd (0.5012, 0.0000, 0.0000)
Nd (0.3007, 0.8001, 0.6005)
Nd (0.1008, 0.6005, 0.1999)
Nd (0.7013, 0.1999, 0.3995)
Nd (0.9012, 0.3995, 0.8001)
Se (0.4020, 0.4005, 0.7976)
Se (0.1996, 0.2024, 0.4005)
Se (0.6000, 0.5995, 0.2024)
Se (0.8024, 0.7976, 0.5995)
Zn (0.0012, 0.0000, 0.0000)